Entry 1:
# PBE Cd2CoGe, optimized geometry
# - ρ: 8.445 g/cm³
# - V: 17.52 Å³/atom
# - Raw total energy: -2.9960 eV per atom
data_Cd2CoGe
_chemical_formula_sum 'Cd8 Co4 Ge4'
_cell_length_a 6.545
_cell_length_b 6.545
_cell_length_c 6.545
_cell_angle_alpha 90.00
_cell_angle_beta 90.00
_cell_angle_gamma 90.00
_space_group_name_H-M_alt 'F -4 3 m'
_space_group_IT_number 216
_space_group_name_Hall 'F -4 2 3'
loop_
_atom_site_label
_atom_site_type_symbol
_atom_site_fract_x
_atom_site_fract_y
_atom_site_fract_z
Cd1 Cd 0.000 0.000 0.000
Cd2 Cd 0.250 0.250 0.250
Co1 Co 0.250 0.250 0.750
Ge1 Ge 0.000 0.000 0.500

Entry 2:
# PBE HfCdCoGe, optimized geometry
# - ρ: 10.403 g/cm³
# - V: 16.86 Å³/atom
# - Raw total energy: -5.5359 eV per atom
data_HfCdCoGe
_chemical_formula_sum 'Hf4 Cd4 Co4 Ge4'
_cell_length_a 6.461
_cell_length_b 6.461
_cell_length_c 6.461
_cell_angle_alpha 90.00
_cell_angle_beta 90.00
_cell_angle_gamma 90.00
_space_group_name_H-M_alt 'F -4 3 m'
_space_group_IT_number 216
_space_group_name_Hall 'F -4 2 3'
loop_
_atom_site_label
_atom_site_type_symbol
_atom_site_fract_x
_atom_site_fract_y
_atom_site_fract_z
Hf1 Hf 0.000 0.000 0.000
Cd1 Cd 0.250 0.250 0.750
Co1 Co 0.000 0.000 0.500
Ge1 Ge 0.250 0.250 0.250

Entry 3:
# PBE HfCdCoGe, optimized geometry
# - ρ: 10.357 g/cm³
# - V: 16.93 Å³/atom
# - Raw total energy: -5.4946 eV per atom
data_HfCdCoGe
_chemical_formula_sum 'Hf4 Cd4 Co4 Ge4'
_cell_length_a 6.471
_cell_length_b 6.471
_cell_length_c 6.471
_cell_angle_alpha 90.00
_cell_angle_beta 90.00
_cell_angle_gamma 90.00
_space_group_name_H-M_alt 'F -4 3 m'
_space_group_IT_number 216
_space_group_name_Hall 'F -4 2 3'
loop_
_atom_site_label
_atom_site_type_symbol
_atom_site_fract_x
_atom_site_fract_y
_atom_site_fract_z
Hf1 Hf 0.000 0.000 0.000
Cd1 Cd 0.250 0.250 0.250
Co1 Co 0.250 0.250 0.750
Ge1 Ge 0.000 0.000 0.500

Entry 4:
# PBE CdCoGeIr, optimized geometry
# - ρ: 12.142 g/cm³
# - V: 14.91 Å³/atom
# - Raw total energy: -5.2073 eV per atom
data_CdCoGeIr
_chemical_formula_sum 'Cd4 Co4 Ge4 Ir4'
_cell_length_a 6.203
_cell_length_b 6.203
_cell_length_c 6.203
_cell_angle_alpha 90.00
_cell_angle_beta 90.00
_cell_angle_gamma 90.00
_space_group_name_H-M_alt 'F -4 3 m'
_space_group_IT_number 216
_space_group_name_Hall 'F -4 2 3'
loop_
_atom_site_label
_atom_site_type_symbol
_atom_site_fract_x
_atom_site_fract_y
_atom_site_fract_z
Cd1 Cd 0.000 0.000 0.000
Co1 Co 0.250 0.250 0.750
Ge1 Ge 0.000 0.000 0.500
Ir1 Ir 0.250 0.250 0.250

Entry 5:
# PBE MgCdCoGe, optimized geometry
# - ρ: 6.956 g/cm³
# - V: 16.01 Å³/atom
# - Raw total energy: -3.3944 eV per atom
data_MgCdCoGe
_chemical_formula_sum 'Mg4 Cd4 Co4 Ge4'
_cell_length_a 6.351
_cell_length_b 6.351
_cell_length_c 6.351
_cell_angle_alpha 90.00
_cell_angle_beta 90.00
_cell_angle_gamma 90.00
_space_group_name_H-M_alt 'F -4 3 m'
_space_group_IT_number 216
_space_group_name_Hall 'F -4 2 3'
loop_
_atom_site_label
_atom_site_type_symbol
_atom_site_fract_x
_atom_site_fract_y
_atom_site_fract_z
Mg1 Mg 0.000 0.000 0.000
Cd1 Cd 0.250 0.250 0.250
Co1 Co 0.000 0.000 0.500
Ge1 Ge 0.250 0.250 0.750

Entry 6:
# PBE CdCoGeOs, optimized geometry
# - ρ: 12.293 g/cm³
# - V: 14.66 Å³/atom
# - Raw total energy: -5.5428 eV per atom
data_CdCoGeOs
_chemical_formula_sum 'Cd4 Co4 Ge4 Os4'
_cell_length_a 6.168
_cell_length_b 6.168
_cell_length_c 6.168
_cell_angle_alpha 90.00
_cell_angle_beta 90.00
_cell_angle_gamma 90.00
_space_group_name_H-M_alt 'F -4 3 m'
_space_group_IT_number 216
_space_group_name_Hall 'F -4 2 3'
loop_
_atom_site_label
_atom_site_type_symbol
_atom_site_fract_x
_atom_site_fract_y
_atom_site_fract_z
Cd1 Cd 0.000 0.000 0.000
Co1 Co 0.250 0.250 0.750
Ge1 Ge 0.000 0.000 0.500
Os1 Os 0.250 0.250 0.250

Entry 7:
# PBE CdCoGePd, optimized geometry
# - ρ: 9.493 g/cm³
# - V: 15.32 Å³/atom
# - Raw total energy: -4.4646 eV per atom
data_CdCoGePd
_chemical_formula_sum 'Cd4 Co4 Ge4 Pd4'
_cell_length_a 6.259
_cell_length_b 6.259
_cell_length_c 6.259
_cell_angle_alpha 90.00
_cell_angle_beta 90.00
_cell_angle_gamma 90.00
_space_group_name_H-M_alt 'F -4 3 m'
_space_group_IT_number 216
_space_group_name_Hall 'F -4 2 3'
loop_
_atom_site_label
_atom_site_type_symbol
_atom_site_fract_x
_atom_site_fract_y
_atom_site_fract_z
Cd1 Cd 0.000 0.000 0.000
Co1 Co 0.250 0.250 0.750
Ge1 Ge 0.000 0.000 0.500
Pd1 Pd 0.250 0.250 0.250

Entry 8:
# PBE CdCoGePt, optimized geometry
# - ρ: 11.646 g/cm³
# - V: 15.65 Å³/atom
# - Raw total energy: -4.6505 eV per atom
data_CdCoGePt
_chemical_formula_sum 'Cd4 Co4 Ge4 Pt4'
_cell_length_a 6.303
_cell_length_b 6.303
_cell_length_c 6.303
_cell_angle_alpha 90.00
_cell_angle_beta 90.00
_cell_angle_gamma 90.00
_space_group_name_H-M_alt 'F -4 3 m'
_space_group_IT_number 216
_space_group_name_Hall 'F -4 2 3'
loop_
_atom_site_label
_atom_site_type_symbol
_atom_site_fract_x
_atom_site_fract_y
_atom_site_fract_z
Cd1 Cd 0.000 0.000 0.000
Co1 Co 0.250 0.250 0.750
Ge1 Ge 0.000 0.000 0.500
Pt1 Pt 0.250 0.250 0.250

Entry 9:
# PBE CdCoGeS3, optimized geometry
# - ρ: 4.927 g/cm³
# - V: 19.11 Å³/atom
# - Raw total energy: -4.4394 eV per atom
data_CdCoGeS3
_chemical_formula_sum 'Cd4 Co4 Ge4 S12'
_cell_length_a 3.438
_cell_length_b 14.801
_cell_length_c 9.012
_cell_angle_alpha 90.00
_cell_angle_beta 90.00
_cell_angle_gamma 90.00
_space_group_name_H-M_alt 'C m c m'
_space_group_IT_number 63
_space_group_name_Hall '-C 2c 2'
loop_
_atom_site_label
_atom_site_type_symbol
_atom_site_fract_x
_atom_site_fract_y
_atom_site_fract_z
Cd1 Cd 0.000 0.202 0.250
Co1 Co 0.000 0.500 0.000
Ge1 Ge 0.000 0.148 0.750
S1 S 0.000 0.100 0.019
S2 S 0.000 0.466 0.250

Entry 10:
# PBE CdCoGeS3, optimized geometry
# - ρ: 4.771 g/cm³
# - V: 19.73 Å³/atom
# - Raw total energy: -4.3154 eV per atom
data_CdCoGeS3
_chemical_formula_sum 'Cd4 Co4 Ge4 S12'
_cell_length_a 3.598
_cell_length_b 12.232
_cell_length_c 10.762
_cell_angle_alpha 90.00
_cell_angle_beta 90.00
_cell_angle_gamma 90.00
_space_group_name_H-M_alt 'C m c m'
_space_group_IT_number 63
_space_group_name_Hall '-C 2c 2'
loop_
_atom_site_label
_atom_site_type_symbol
_atom_site_fract_x
_atom_site_fract_y
_atom_site_fract_z
Cd1 Cd 0.000 0.000 0.000
Co1 Co 0.000 0.472 0.250
Ge1 Ge 0.000 0.215 0.750
S1 S 0.000 0.078 0.250
S2 S 0.000 0.355 0.086

Entry 11:
# PBE ScCdCoGe, optimized geometry
# - ρ: 7.319 g/cm³
# - V: 16.39 Å³/atom
# - Raw total energy: -4.7680 eV per atom
data_ScCdCoGe
_chemical_formula_sum 'Sc4 Cd4 Co4 Ge4'
_cell_length_a 6.401
_cell_length_b 6.401
_cell_length_c 6.401
_cell_angle_alpha 90.00
_cell_angle_beta 90.00
_cell_angle_gamma 90.00
_space_group_name_H-M_alt 'F -4 3 m'
_space_group_IT_number 216
_space_group_name_Hall 'F -4 2 3'
loop_
_atom_site_label
_atom_site_type_symbol
_atom_site_fract_x
_atom_site_fract_y
_atom_site_fract_z
Sc1 Sc 0.000 0.000 0.000
Cd1 Cd 0.250 0.250 0.250
Co1 Co 0.250 0.250 0.750
Ge1 Ge 0.000 0.000 0.500

Entry 12:
# PBE ScCdCoGe, optimized geometry
# - ρ: 7.302 g/cm³
# - V: 16.43 Å³/atom
# - Raw total energy: -4.8749 eV per atom
data_ScCdCoGe
_chemical_formula_sum 'Sc4 Cd4 Co4 Ge4'
_cell_length_a 6.406
_cell_length_b 6.406
_cell_length_c 6.406
_cell_angle_alpha 90.00
_cell_angle_beta 90.00
_cell_angle_gamma 90.00
_space_group_name_H-M_alt 'F -4 3 m'
_space_group_IT_number 216
_space_group_name_Hall 'F -4 2 3'
loop_
_atom_site_label
_atom_site_type_symbol
_atom_site_fract_x
_atom_site_fract_y
_atom_site_fract_z
Sc1 Sc 0.000 0.000 0.000
Cd1 Cd 0.250 0.250 0.750
Co1 Co 0.000 0.000 0.500
Ge1 Ge 0.250 0.250 0.250